Cs2Cd3CoF12 after structural relaxation, computed with PBE with a Hubbard U.

final energy: -71.2 eV per cell
symmetry: R-3m

a = 7.8413 Å, b = 7.8413 Å, c = 7.8413 Å
α = 59.58°, β = 59.58°, γ = 59.58°
Last column: nearest neighbours and their distance in Å.
Positions (direct):
Cs 0.1327 0.1327 0.1327  9 F 3.21-3.58
Cs 0.8673 0.8673 0.8673  9 F 3.21-3.58
Cd 0.0000 0.5000 0.5000  6 F 2.21-2.31
Cd 0.5000 0.0000 0.5000  6 F 2.21-2.31
Cd 0.5000 0.5000 0.0000  6 F 2.21-2.31
Co 0.5000 0.5000 0.5000  6 F 1.82
F 0.1574 0.1574 0.5629  2 Cd 2.21
F 0.1574 0.5629 0.1574  2 Cd 2.21
F 0.2238 0.5586 0.5586  1 Co 1.82
F 0.4371 0.8426 0.8426  2 Cd 2.21
F 0.4414 0.4414 0.7762  1 Co 1.82
F 0.4414 0.7762 0.4414  1 Co 1.82
F 0.5586 0.2238 0.5586  1 Co 1.82
F 0.5586 0.5586 0.2238  1 Co 1.82
F 0.5629 0.1574 0.1574  2 Cd 2.21
F 0.7762 0.4414 0.4414  1 Co 1.82
F 0.8426 0.4371 0.8426  2 Cd 2.21
F 0.8426 0.8426 0.4371  2 Cd 2.21